one) # KZn2Ir

KZn2Ir after structural relaxation (PBEsol, Alexandria).

- D(E_F) (states/eV per atom) = 0.402
- space-group type = Pm, No. 6

Cell and atoms, written as POSCAR:
```
KZn2Ir
1.0
2.869 0.000 0.097
0.000 4.125 0.000
-0.261 0.000 7.363
Ir K Zn
1 1 2
Cartesian
0.987 0.000 2.659
0.877 2.063 5.416
2.426 2.063 2.563
2.492 0.000 0.649
```

two) # KZn2Ir

KZn2Ir after structural relaxation (PBEsol, Alexandria).

- D(E_F) (states/eV per atom) = 0.220
- space-group type = P4mm, No. 99

Cell and atoms, written as POSCAR:
```
KZn2Ir
1.0
-3.023 1.401 0.055
-0.165 -0.485 3.292
3.168 6.789 1.158
Zn Ir K
2 1 1
Cartesian
-0.644 2.493 2.021
0.232 0.498 0.085
1.266 2.714 0.463
0.710 5.396 2.516
```

three) # KZn2Ir

KZn2Ir after structural relaxation (PBEsol, Alexandria).

- D(E_F) (states/eV per atom) = 0.656
- space-group type = Pmmm, No. 47

Cell and atoms, written as POSCAR:
```
KZn2Ir
1.0
2.873 0.000 0.000
0.000 3.651 0.000
0.000 0.000 7.325
Zn Ir K
2 1 1
Cartesian
0.000 0.000 1.220
0.000 0.000 6.104
1.436 1.826 0.000
1.436 1.826 3.662
```

four) # KZn2Ir

KZn2Ir after structural relaxation (PBEsol, Alexandria).

- D(E_F) (states/eV per atom) = 0.590
- space-group type = Pmmm, No. 47

Cell and atoms, written as POSCAR:
```
KZn2Ir
1.0
-0.345 1.645 -2.016
-4.776 -1.422 -0.343
-1.454 4.031 3.538
Zn Ir K
2 1 1
Cartesian
-0.899 2.838 0.761
0.000 0.000 0.000
-2.561 0.112 -1.179
-3.115 1.304 1.598
```

Stability verdict: one), ahead by 6 meV per atom

one) # KZrIr2

KZrIr2 after structural relaxation (PBEsol, Alexandria).

- D(E_F) (states/eV per atom) = 0.542
- space-group type = Fm-3m, No. 225

Cell and atoms, written as POSCAR:
```
KZrIr2
1.0
-1.079 -2.522 -3.792
1.093 -4.547 -0.175
-3.380 -3.229 0.221
Ir Zr K
2 1 1
Cartesian
-0.841 -2.575 -0.936
-2.524 -7.724 -2.809
0.000 0.000 0.000
-1.683 -5.149 -1.872
```

two) # KZrIr2

KZrIr2 after structural relaxation (PBEsol, Alexandria).

- D(E_F) (states/eV per atom) = 1.337
- space-group type = Pmm2, No. 25

Cell and atoms, written as POSCAR:
```
KZrIr2
1.0
-0.929 1.362 2.278
0.110 -3.367 2.058
8.021 1.658 2.282
Ir K Zr
2 1 1
Cartesian
0.391 0.081 0.111
0.811 -0.750 2.515
3.590 0.742 1.021
6.420 0.409 4.110
```

Stability verdict: two), ahead by 113 meV per atom

one) # KZrIr2

KZrIr2 after structural relaxation (PBEsol, Alexandria).

- D(E_F) (states/eV per atom) = 0.821
- space-group type = C2/m, No. 12

Cell and atoms, written as POSCAR:
```
KZrIr2
1.0
3.012 0.000 0.000
-1.506 4.214 0.009
0.000 -0.969 7.439
Zr Ir K
1 2 1
Cartesian
0.000 -0.485 3.719
0.000 1.928 2.583
1.506 1.317 4.865
1.506 0.000 0.000
```

two) # KZrIr2

KZrIr2 after structural relaxation (PBEsol, Alexandria).

- D(E_F) (states/eV per atom) = 1.409
- space-group type = F-43m, No. 216

Cell and atoms, written as POSCAR:
```
KZrIr2
1.0
-1.304 3.949 -2.032
-0.360 0.222 -4.609
-4.170 0.315 -1.983
Ir K Zr
2 1 1
Cartesian
0.000 0.000 0.000
-4.375 3.365 -6.468
-2.917 2.243 -4.312
-1.458 1.122 -2.156
```

Stability verdict: one), ahead by 353 meV per atom

one) # La3Ir2

La3Ir2 after structural relaxation (PBEsol, Alexandria).

- D(E_F) (states/eV per atom) = 0.699
- space-group type = R-3, No. 148

Cell and atoms, written as POSCAR:
```
La3Ir2
1.0
7.625 0.034 0.026
2.513 7.199 0.026
2.513 1.793 6.973
Ir La
6 9
Cartesian
7.314 7.202 1.221
5.338 1.824 5.804
7.481 3.071 0.343
9.190 2.306 4.132
5.171 5.955 6.682
3.462 6.720 2.893
6.161 7.174 4.242
10.142 7.236 5.632
7.558 3.914 5.913
2.510 1.790 1.393
5.093 5.112 1.112
8.788 4.969 2.343
0.000 0.000 0.000
6.491 1.852 2.783
3.863 4.057 4.682
```

two) # La3Ir2

La3Ir2 after structural relaxation (PBEsol, Alexandria).

- D(E_F) (states/eV per atom) = 0.704
- space-group type = R-3m, No. 166

Cell and atoms, written as POSCAR:
```
La3Ir2
1.0
-4.095 0.060 -0.788
-1.656 -2.772 -2.639
-3.446 -7.104 6.328
La Ir
3 2
Cartesian
0.000 0.000 0.000
-2.402 -2.873 1.230
-6.794 -6.943 1.670
-4.102 -2.896 -0.975
-5.094 -6.920 3.875
```

Stability verdict: one), ahead by 91 meV per atom